Material: AcPmSi2Pt2
Method: DFT, PBE
State: optimized geometry

Properties
Final energy, eV per cell: -38.4
V, Å³/cell: 135.6

Cell and atoms, written as CIF:
```
data_AcPmSi2Pt2
_chemical_formula_sum 'Ac1 Pm1 Si2 Pt2'
_cell_length_a 4.2222
_cell_length_b 4.2222
_cell_length_c 8.7806
_cell_angle_alpha 90.00
_cell_angle_beta 90.00
_cell_angle_gamma 120.00
_space_group_name_H-M_alt 'P 1'
_space_group_IT_number 1
_space_group_name_Hall 'P 1'
loop_
_atom_site_label
_atom_site_type_symbol
_atom_site_fract_x
_atom_site_fract_y
_atom_site_fract_z
Pm1 Pm 0.0000 0.0000 0.5000
Si1 Si 0.6667 0.3333 0.2643
Si2 Si 0.3333 0.6667 0.7357
Pt1 Pt 0.6667 0.3333 0.7361
Pt2 Pt 0.3333 0.6667 0.2639
Ac1 Ac 0.0000 0.0000 0.0000
```